# Sm2MnAg PBE relaxed
# total energy	-5.39	eV per atom
# D(E_F)	3.81	states/eV per cell
# calculated volume	99	Å³/cell
# density	7.799	g/cm3
data_Sm2MnAg
_chemical_formula_sum 'Sm2 Mn1 Ag1'
_symmetry_space_group_name_H-M 'P 4/m m m'
_symmetry_Int_Tables_number 123
_symmetry_space_group_name_Hall '-P 4 2'
_cell_length_a 3.6507
_cell_length_b 3.6507
_cell_length_c 7.4056
_cell_angle_alpha 90.00
_cell_angle_beta 90.00
_cell_angle_gamma 90.00
loop_
_atom_site_label
_atom_site_type_symbol
_atom_site_fract_x
_atom_site_fract_y
_atom_site_fract_z
Sm1 Sm 0.0000 0.0000 0.2397
Mn1 Mn 0.5000 0.5000 0.0000
Ag1 Ag 0.5000 0.5000 0.5000